# 1
A relaxed structure of Nd2HfUN4. Source: Alexandria, functional PBE.

a b c (Å): 3.443 5.900 6.102
angles (deg): 108.50 90.00 90.00
Site moments in Bohr magnetons follow the coordinates.
Fractional coordinates of all 8 atoms:
N (0.500, 0.764, 0.798)  0.00
Hf (0.000, 0.000, 0.000)  0.00
Nd (0.000, 0.500, 0.500)  0.00
U (0.500, 0.500, 0.000)  0.14
N (0.000, 0.740, 0.205)  0.00
N (0.000, 0.260, 0.795)  0.00
Nd (0.500, 0.000, 0.500)  0.00
N (0.500, 0.236, 0.202)  0.00

Output
Volume = 117.5 Å³/cell
Formation energy without anion corrections = -1.5252 eV/atom
Space-group type = P2/m (10)
Magnetic moment = 0.1 μB per formula unit

# 2
A relaxed structure of Pu3GeAu3. Source: Alexandria, functional PBE.

a b c (Å): 4.860 3.239 10.416
angles (deg): 98.95 103.49 90.00
Site moments in Bohr magnetons follow the coordinates.
Fractional coordinates of all 7 atoms:
Pu (0.998, 0.998, 0.996)  5.41
Au (0.565, 0.565, 0.130)  0.00
Ge (0.433, 0.433, 0.866)  -0.08
Au (0.856, 0.356, 0.712)  0.01
Pu (0.306, 0.806, 0.612)  5.31
Pu (0.697, 0.197, 0.393)  -5.34
Au (0.146, 0.646, 0.292)  -0.01

Output
Volume = 157.4 Å³/cell
Space-group type = Imm2 (44)
Electronic total energy = -8.595 eV/atom
Magnetic moment = 5.5 μB per formula unit

# 3
A relaxed structure of CaZrBi. Source: Alexandria, functional PBE.

a b c (Å): 3.966 5.674 8.327
angles (deg): 71.36 90.00 69.55
Site moments in Bohr magnetons follow the coordinates.
Fractional coordinates of all 6 atoms:
Bi (0.500, 0.999, 0.724)  -0.01
Ca (0.838, 0.324, 0.897)  0.07
Ca (0.162, 0.676, 0.103)  0.07
Zr (0.840, 0.321, 0.432)  0.20
Zr (0.160, 0.679, 0.568)  0.20
Bi (0.500, 0.001, 0.276)  -0.01

Output
Volume = 165.1 Å³/cell
ΔE to the lowest computed polymorph = 0.84 eV/f.u.
Space-group type = C2/m (12)
Magnetic moment = 0.6 μB per formula unit

Which of these has the lowest volume? Nd2HfUN4